No. 1
The following is a PBE-GGA calculation of an optimized crystal structure of CaSc2Re, from Alexandria via LeMat-Bulk.

Calculated values
Size of the total moment in Bohr magnetons per cell: 0.0
Energy relative to the lowest polymorph listed for this composition in meV per atom: 0
Crystal system: monoclinic
Uncorrected energy in eV per cell: -27.03
Formation energy in eV per formula unit: 0.1
Density of states at the Fermi level in states/eV/atom: 1.32

abc: 3.348 3.342 8.707
angles: 90.00 90.21 90.00
Space group P2/m (No. 10)
Inequivalent atoms, fractional coordinates:
1 Ca 0.000 0.000 0.000
2 Sc 0.499 0.500 0.328
3 Re 0.000 0.000 0.500



No. 2
The following is a PBE-GGA calculation of an optimized crystal structure of CaSc2Re, from Alexandria via LeMat-Bulk.

Calculated values
Size of the total moment in Bohr magnetons per cell: 0.0
Energy relative to the lowest polymorph listed for this composition in meV per atom: 250
Crystal system: monoclinic
Uncorrected energy in eV per cell: -52.07
Formation energy in eV per formula unit: 1.1
Density of states at the Fermi level in states/eV/atom: 0.76

abc: 9.649 3.913 6.067
angles: 90.00 118.69 90.00
Space group Cm (No. 8)
Inequivalent atoms, fractional coordinates:
1 Ca 0.000 0.000 0.000
2 Sc 0.194 0.000 0.677
3 Sc 0.402 0.000 0.387
4 Re 0.213 0.500 0.407



No. 3
The following is a PBE-GGA calculation of an optimized crystal structure of CaScRe3, from Alexandria via LeMat-Bulk.

Calculated values
Size of the total moment in Bohr magnetons per cell: 2.2
Energy relative to the lowest polymorph listed for this composition in meV per atom: 0
Crystal system: cubic
Uncorrected energy in eV per cell: -35.81
Formation energy in eV per formula unit: 9.9
Density of states at the Fermi level in states/eV/atom: 1.29

abc: 4.744 4.744 4.744
angles: 90.00 90.00 90.00
Space group Pm-3m (No. 221)
Inequivalent atoms, fractional coordinates:
1 Ca 0.000 0.000 0.000
2 Sc 0.500 0.500 0.500
3 Re 0.000 0.500 0.500



No. 4
The following is a PBE-GGA calculation of an optimized crystal structure of CaSc2Re, from Alexandria via LeMat-Bulk.

Calculated values
Size of the total moment in Bohr magnetons per cell: 0.0
Energy relative to the lowest polymorph listed for this composition in meV per atom: 304
Crystal system: monoclinic
Uncorrected energy in eV per cell: -25.82
Formation energy in eV per formula unit: 1.3
Density of states at the Fermi level in states/eV/atom: 1.15

abc: 3.126 4.737 6.514
angles: 90.00 102.43 90.00
Space group Pm (No. 6)
Inequivalent atoms, fractional coordinates:
1 Ca 0.000 0.000 0.000
2 Sc 0.304 0.500 0.654
3 Sc 0.622 0.000 0.441
4 Re 0.755 0.500 0.285



- Look up the formation energy of the first one.
  0.1 eV per formula unit



- The lowest density of states at the Fermi level belongs to which entry?
  number 2



- The highest energy relative to the lowest polymorph listed for this composition belongs to which entry?
  number 4